[1]
## Tb3Nd6SmTm2 (PBE)

Data for a geometry-optimized Tb3Nd6SmTm2 structure.

- Size of the total moment: 0.000 μB/f.u.
- E_form: 13 meV per atom

abc: 6.2764 6.2764 11.8851
angles: 95.04 95.04 120.00
Element x y z (fractional)
Tb (0.8333, 0.1667, 0.5000)
Tb (0.1667, 0.8333, 0.5000)
Tb (0.5000, 0.5000, 0.5000)
Nd (0.4175, 0.0833, 0.2495)
Nd (0.5825, 0.9167, 0.7505)
Nd (0.0833, 0.4175, 0.2495)
Nd (0.7491, 0.7491, 0.2491)
Nd (0.9167, 0.5825, 0.7505)
Nd (0.2509, 0.2509, 0.7509)
Tm (0.3333, 0.6667, 0.0000)
Tm (0.6667, 0.3333, 0.0000)
Sm (0.0000, 0.0000, 0.0000)

=====

[2]
## CaPr2NdSe4 (PBE)

Data for a geometry-optimized CaPr2NdSe4 structure.

- Size of the total moment: 0.000 μB/f.u.
- E_form (uncorrected): -1873 meV/atom

abc: 4.2135 7.3686 7.3529
angles: 70.94 90.00 90.00
Element x y z (fractional)
Se (0.5000, 0.7436, 0.2475)
Se (0.0000, 0.2581, 0.2438)
Se (0.0000, 0.7419, 0.7562)
Se (0.5000, 0.2564, 0.7525)
Pr (0.0000, 0.0000, 0.0000)
Pr (0.5000, 0.0000, 0.5000)
Nd (0.0000, 0.5000, 0.5000)
Ca (0.5000, 0.5000, 0.0000)

=====

[3]
## Tb2PrGd (PBE)

Data for a geometry-optimized Tb2PrGd structure.

- Energy above the lowest structure with this stoichiometry: 104 meV per atom
- Size of the total moment: 8.246 μB/f.u.
- E_form: 118 meV per atom

abc: 5.7398 5.7398 5.7398
angles: 60.00 60.00 60.00
Element x y z (fractional)
Tb (0.2500, 0.2500, 0.2500)
Tb (0.7500, 0.7500, 0.7500)
Gd (0.5000, 0.5000, 0.5000)
Pr (0.0000, 0.0000, 0.0000)

=====

[4]
## Pu2Pt2Au (PBE)

Data for a geometry-optimized Pu2Pt2Au structure.

- Size of the total moment: 10.604 μB/f.u.
- E_form: -717 meV per atom

abc: 3.8072 7.5876 7.5876
angles: 90.00 90.00 90.00
Element x y z (fractional)
Au (0.0000, 0.0000, 0.0000)
Au (0.0000, 0.5000, 0.5000)
Pu (0.5000, 0.6705, 0.8295)
Pu (0.5000, 0.8295, 0.3295)
Pu (0.5000, 0.3295, 0.1705)
Pu (0.5000, 0.1705, 0.6705)
Pt (0.0000, 0.3675, 0.8675)
Pt (0.0000, 0.8675, 0.6325)
Pt (0.0000, 0.1325, 0.3675)
Pt (0.0000, 0.6325, 0.1325)

=====

[5]
## Tm3Hg3Rh2 (PBE)

Data for a geometry-optimized Tm3Hg3Rh2 structure.

- Size of the total moment: 0.000 μB/f.u.
- E_form: -657 meV per atom

abc: 3.5204 7.5781 7.5781
angles: 120.00 90.00 90.00
Element x y z (fractional)
Hg (0.0000, 0.2340, 0.0000)
Hg (0.0000, 0.0000, 0.2340)
Hg (0.0000, 0.7660, 0.7660)
Tm (0.5000, 0.4214, 0.4214)
Tm (0.5000, 0.5786, 0.0000)
Tm (0.5000, 0.0000, 0.5786)
Rh (0.0000, 0.3333, 0.6667)
Rh (0.0000, 0.6667, 0.3333)

=====

[6]
## YH3Cl (PBE)

Data for a geometry-optimized YH3Cl structure.

- Energy above the lowest structure with this stoichiometry: 836 meV per atom
- Size of the total moment: 0.000 μB/f.u.

abc: 3.9408 3.9408 3.9408
angles: 90.00 90.00 90.00
Element x y z (fractional)
H (0.0000, 0.5000, 0.0000)
H (0.5000, 0.0000, 0.0000)
H (0.0000, 0.0000, 0.5000)
Cl (0.0000, 0.0000, 0.0000)
Y (0.5000, 0.5000, 0.5000)